{"formula": "Pu3Ge2Pt", "functional": "PBE", "state": "optimized geometry", "total_magnetization_mub_per_cell": 33.2, "de_polymorph_ev_per_fu": 0.64, "total_energy_ev_per_fu": -60.79, "density_g_cm3": 13.30, "lattice": [[-3.781, 4.698, 0.951], [-1.472, -2.245, 5.237], [8.172, 2.590, 0.102]], "species": ["Pt", "Pt", "Pu", "Pu", "Pu", "Pu", "Pu", "Pu", "Ge", "Ge", "Ge", "Ge"], "fractional_positions": [[0.000, 0.750, 0.000], [0.000, 0.250, 0.000], [0.087, 0.830, 0.660], [0.573, 0.330, 0.660], [0.500, 0.750, 0.000], [0.913, 0.170, 0.340], [0.427, 0.670, 0.340], [0.500, 0.250, 0.000], [0.906, 0.629, 0.258], [0.352, 0.129, 0.258], [0.094, 0.371, 0.742], [0.648, 0.871, 0.742]]}